Entry 1:
CoNi2Rh: relaxed, PBEsol.

Values from the calculation:
DOS(E_F) = 6.35 states/eV per cell
uncorrected energy = -6.983 eV per atom
energy relative to the lowest polymorph listed for this composition = 28 meV/atom
formation enthalpy at 0 K = 65 meV per atom

Unit cell a=2.532 b=2.532 c=7.073 alpha=90.00 beta=90.00 gamma=90.00
Space group P4/mmm (No. 123)
Asymmetric unit:
Co (0.000, 0.000, 0.000) (multiplicity 1)
Ni (0.500, 0.500, 0.236) (multiplicity 2)
Rh (0.000, 0.000, 0.500) (multiplicity 1)

Entry 2:
CoRe2Tc: relaxed, PBEsol.

Values from the calculation:
DOS(E_F) = 6.84 states/eV per cell
uncorrected energy = -11.341 eV per atom
energy relative to the lowest polymorph listed for this composition = 69 meV/atom
formation enthalpy at 0 K = 76 meV per atom

Unit cell a=5.320 b=7.537 c=2.670 alpha=90.00 beta=90.00 gamma=90.00
Space group Cmmm (No. 65)
Asymmetric unit:
Co (0.000, 0.000, 0.000) (multiplicity 2)
Re (0.250, 0.250, 0.500) (multiplicity 4)
Tc (0.000, 0.500, 0.000) (multiplicity 2)

Entry 3:
CoReSe2: relaxed, PBEsol.

Values from the calculation:
energy relative to the elements, uncorrected = 0.72 eV/atom
DOS(E_F) = 10.70 states/eV per cell
uncorrected energy = -6.471 eV per atom
energy relative to the lowest polymorph listed for this composition = 620 meV/atom

Unit cell a=3.015 b=5.163 c=7.871 alpha=90.00 beta=90.00 gamma=90.00
Space group Cmmm (No. 65)
Asymmetric unit:
Co (0.000, 0.000, 0.000) (multiplicity 2)
Re (0.000, 0.000, 0.500) (multiplicity 2)
Se (0.000, 0.500, 0.239) (multiplicity 4)